# NaSr3Cr (PBE, relaxed)
data_NaSr3Cr
_chemical_formula_sum 'Na1 Sr3 Cr1'
_cell_length_a 5.912
_cell_length_b 5.912
_cell_length_c 5.912
_cell_angle_alpha 90.00
_cell_angle_beta 90.00
_cell_angle_gamma 90.00
_space_group_name_H-M_alt 'P m -3 m'
_space_group_IT_number 221
_space_group_name_Hall '-P 4 2 3'
loop_
_atom_site_label
_atom_site_fract_x
_atom_site_fract_y
_atom_site_fract_z
Na1 0.000 0.000 0.000
Sr1 0.000 0.500 0.500
Cr1 0.500 0.500 0.500
# Calculated volume ... 41.33 A^3/atom
# Density of states at the Fermi level ... 6.62 states/eV/f.u.
# Energy relative to the elements ... 3.77 eV/f.u.
# Total energy ... -2.44 eV per atom
# ρ ... 2.7 g cm⁻³
# Magnetization ... 0.000 μB per atom

=====

# Na2SrCr (PBE, relaxed)
data_Na2SrCr
_chemical_formula_sum 'Na8 Sr4 Cr4'
_cell_length_a 4.799
_cell_length_b 4.799
_cell_length_c 25.226
_cell_angle_alpha 90.00
_cell_angle_beta 90.00
_cell_angle_gamma 90.00
_space_group_name_H-M_alt 'I -4 2 d'
_space_group_IT_number 122
_space_group_name_Hall 'I -4 2bw'
loop_
_atom_site_label
_atom_site_fract_x
_atom_site_fract_y
_atom_site_fract_z
Na1 0.214 0.250 0.125
Sr1 0.000 0.000 0.500
Cr1 0.000 0.000 0.000
# Calculated volume ... 36.30 A^3/atom
# Density of states at the Fermi level ... 2.58 states/eV/f.u.
# Energy relative to the elements ... 2.36 eV/f.u.
# Total energy ... -2.89 eV per atom
# ρ ... 2.1 g cm⁻³
# Magnetization ... 1.272 μB per atom

=====

# Na2SrCr (PBE, relaxed)
data_Na2SrCr
_chemical_formula_sum 'Na8 Sr4 Cr4'
_cell_length_a 8.071
_cell_length_b 8.071
_cell_length_c 8.071
_cell_angle_alpha 90.00
_cell_angle_beta 90.00
_cell_angle_gamma 90.00
_space_group_name_H-M_alt 'F m -3 m'
_space_group_IT_number 225
_space_group_name_Hall '-F 4 2 3'
loop_
_atom_site_label
_atom_site_fract_x
_atom_site_fract_y
_atom_site_fract_z
Na1 0.250 0.250 0.250
Sr1 0.000 0.000 0.000
Cr1 0.000 0.000 0.500
# Calculated volume ... 32.86 A^3/atom
# Density of states at the Fermi level ... 2.74 states/eV/f.u.
# Energy relative to the elements ... 2.20 eV/f.u.
# Total energy ... -2.94 eV per atom
# ρ ... 2.3 g cm⁻³
# Magnetization ... 1.199 μB per atom

=====

# NaSrCrW2 (PBE, relaxed)
data_NaSrCrW2
_chemical_formula_sum 'Na1 Sr1 Cr1 W2'
_cell_length_a 4.551
_cell_length_b 4.551
_cell_length_c 5.547
_cell_angle_alpha 90.00
_cell_angle_beta 90.00
_cell_angle_gamma 90.00
_space_group_name_H-M_alt 'P 4/m m m'
_space_group_IT_number 123
_space_group_name_Hall '-P 4 2'
loop_
_atom_site_label
_atom_site_fract_x
_atom_site_fract_y
_atom_site_fract_z
Na1 0.000 0.000 0.000
Sr1 0.500 0.500 0.000
Cr1 0.000 0.000 0.500
W1 0.000 0.500 0.500
# Calculated volume ... 22.98 A^3/atom
# Density of states at the Fermi level ... 4.34 states/eV/f.u.
# Energy relative to the elements ... 6.13 eV/f.u.
# Total energy ... -6.48 eV per atom
# ρ ... 7.7 g cm⁻³
# Magnetization ... 0.000 μB per atom